Density functional theory data (GGA-PBE) for Pm2SnRh3 after structural relaxation.

Unit cell a=4.6757 b=5.5223 c=10.0754 alpha=90.00 beta=90.00 gamma=90.00
Closest atoms and distances in Å follow each position.
Element x y z (fractional)
1 Pm 0.0000 0.0000 0.1801  6 Rh 2.79-2.97
2 Pm 0.0000 0.0000 0.8199  6 Rh 2.79-2.97
3 Pm 0.5000 0.5000 0.3199  6 Rh 2.79-2.97
4 Pm 0.5000 0.5000 0.6801  6 Rh 2.79-2.97
5 Sn 0.0000 0.0000 0.5000  6 Rh 2.72-2.76
6 Sn 0.5000 0.5000 0.0000  6 Rh 2.72-2.76
7 Rh 0.0000 0.5000 0.1378  2 Sn 2.72, 1 Rh 2.78, 4 Pm 2.79-2.97
8 Rh 0.0000 0.5000 0.5000  2 Sn 2.76, 4 Pm 2.96
9 Rh 0.0000 0.5000 0.8622  2 Sn 2.72, 1 Rh 2.78, 4 Pm 2.79-2.97
10 Rh 0.5000 0.0000 0.0000  2 Sn 2.76, 4 Pm 2.96
11 Rh 0.5000 0.0000 0.3622  2 Sn 2.72, 1 Rh 2.78, 4 Pm 2.79-2.97
12 Rh 0.5000 0.0000 0.6378  2 Sn 2.72, 1 Rh 2.78, 4 Pm 2.79-2.97

The value obtained for the magnetic moment is 0.00 μB per atom. For the calculated formation energy, the calculation gives -0.48 eV per atom.